# 1
Here is a relaxed Nd2Tm2Th3 crystal from the Alexandria database. Energies are from PBE-GGA.

Properties
calculated formation energy	0.075	eV/atom
space group	Cmmm

Structure (extended XYZ):
```
7
Lattice="-2.6996 2.1611 -0.7727 -1.3447 -0.5195 3.2448 10.9853 13.2013 6.6661" Properties=species:S:1:pos:R:3 pbc="T T T"
Nd 4.9645 8.0953 5.2961
Nd 1.9765 6.7476 3.8421
Tm 2.6395 3.9123 1.7202
Tm 5.6463 11.4502 4.1732
Th 7.6333 12.0509 7.0354
Th -0.6922 2.7920 2.1028
Th 0.0000 0.0000 0.0000
```



# 2
Here is a relaxed Sc2TcSb crystal from the Alexandria database. Energies are from PBE-GGA.

Properties
space group	R3m
uncorrected formation energy	0.0027	eV/atom

Structure (extended XYZ):
```
4
Lattice="9.3627 -0.0069 -0.0041 8.7907 3.2226 -0.0041 8.7907 1.5572 2.8214" Properties=species:S:1:pos:R:3 pbc="T T T"
Sb 20.4844 3.6285 2.1388
Sc 0.1120 0.0198 0.0117
Sc 6.4321 1.1394 0.6716
Tc 13.3876 2.3714 1.3978
```



# 3
Here is a relaxed LiCr2Mo crystal from the Alexandria database. Energies are from PBE-GGA.

Properties
calculated formation energy	0.384	eV/atom
space group	Cmmm

Structure (extended XYZ):
```
4
Lattice="-0.8669 1.8267 -1.5779 -1.3582 0.0789 2.1741 5.8016 5.7052 3.4172" Properties=species:S:1:pos:R:3 pbc="T T T"
Cr 5.7489 5.6533 3.3862
Cr 2.9535 2.9044 1.7396
Li 0.3379 2.3791 1.1524
Mo 3.2387 5.2317 2.8610
```



# 4
Here is a relaxed KLiSbSe3 crystal from the Alexandria database. Energies are from PBE-GGA.

Properties
space group	P2_1/m
uncorrected formation energy	-0.7172	eV/atom

Structure (extended XYZ):
```
12
Lattice="4.1816 0.0000 0.0000 0.0000 9.2528 -0.4180 0.0000 -2.8711 8.9140" Properties=species:S:1:pos:R:3 pbc="T T T"
K 1.0454 1.2831 2.2285
K 3.1362 5.0987 6.2675
Li 1.0454 -0.9015 5.2287
Li 3.1362 7.2832 3.2673
Sb 1.0454 5.8003 1.0767
Sb 3.1362 0.5815 7.4193
Se 3.1362 7.6876 0.7543
Se 1.0454 -1.3059 7.7417
Se 1.0454 5.9794 3.7882
Se 3.1362 0.4023 4.7078
Se 3.1362 3.8739 1.3281
Se 1.0454 2.5078 7.1679
```



# 5
Here is a relaxed AlAg2Se crystal from the Alexandria database. Energies are from PBE-GGA.

Properties
space group	Pmm2
uncorrected formation energy	-0.0291	eV/atom

Structure (extended XYZ):
```
4
Lattice="-1.9151 -2.6289 1.1152 1.1101 -1.6742 -2.0403 5.8123 -2.1436 4.9279" Properties=species:S:1:pos:R:3 pbc="T T T"
Se 4.0700 -4.1173 2.5839
Ag 0.9807 -1.3100 -1.4040
Ag 0.8834 -2.3096 1.3732
Al 3.6444 -2.2928 0.8534
```



# 6
Here is a relaxed Tb3Al3Cu8 crystal from the Alexandria database. Energies are from PBE-GGA.

Properties
calculated formation energy	-0.307	eV/atom
space group	Immm

Structure (extended XYZ):
```
14
Lattice="4.2174 0.0000 0.0000 2.1087 7.6859 0.3200 2.1087 2.4004 7.3084" Properties=species:S:1:pos:R:3 pbc="T T T"
Tb 4.2174 5.0432 3.8142
Tb 4.2174 2.0811 1.5740
Tb 4.2174 8.0052 6.0544
Al 2.1087 0.0000 0.0000
Al 2.1087 6.5971 1.7597
Al 2.1087 3.4893 5.8688
Cu 4.2174 2.2286 4.8245
Cu 4.2174 7.8577 2.8039
Cu 4.2174 5.2490 0.8309
Cu 4.2174 4.8373 6.7975
Cu 6.3262 7.5013 4.0764
Cu 2.1087 2.5851 3.5521
Cu 6.3262 5.9646 6.1081
Cu 2.1087 4.1217 1.5203
```



# 7
Here is a relaxed BaCaPt2 crystal from the Alexandria database. Energies are from PBE-GGA.

Properties
calculated formation energy	-0.561	eV/atom
space group	P4/mmm

Structure (extended XYZ):
```
4
Lattice="-3.8263 -1.2099 1.7488 -1.1331 -1.8864 -3.7842 2.5404 -5.3085 1.8856" Properties=species:S:1:pos:R:3 pbc="T T T"
Ca -0.2563 -6.1941 0.6326
Ba 0.9524 -1.9903 0.7069
Pt 2.2230 -4.6453 1.6500
Pt -1.5275 -3.5379 -0.3109
```



# 8
Here is a relaxed Na2Zn16Cd crystal from the Alexandria database. Energies are from PBE-GGA.

Properties
calculated formation energy	-0.028	eV/atom
space group	R3m

Structure (extended XYZ):
```
19
Lattice="-1.1697 2.6612 6.2509 -6.3902 -2.4767 0.7458 1.7298 -5.6174 3.6023" Properties=species:S:1:pos:R:3 pbc="T T T"
Na -3.8170 -3.5571 6.9393
Na -1.9991 -1.8630 3.6344
Zn -6.6720 -2.3343 6.1902
Zn -1.9114 -2.0025 8.9788
Zn -3.0727 -6.5254 6.0217
Zn -5.0869 -0.7743 7.8617
Zn -1.0311 -4.5162 8.1746
Zn -5.5381 -5.5718 5.1544
Zn -5.1959 -3.1173 4.0556
Zn -2.6074 -0.5698 6.7853
Zn -1.1697 -4.6747 5.4719
Zn -0.6652 -2.3114 6.4962
Zn -3.2039 -4.8099 3.8190
Zn -4.6139 -0.7841 5.1071
Zn -3.1403 -1.2296 0.4056
Zn -0.5936 1.2768 3.0912
Zn 0.8209 -2.7618 1.7991
Zn -0.6404 -0.5967 1.1642
Cd -5.2475 -4.8901 9.5399
```



# 9
Here is a relaxed ZrCo2Se crystal from the Alexandria database. Energies are from PBE-GGA.

Properties
space group	R3m
uncorrected formation energy	-0.2122	eV/atom

Structure (extended XYZ):
```
4
Lattice="-4.2941 -1.9116 1.9466 -1.7332 -4.7089 0.8398 -1.1239 -2.6810 4.1752" Properties=species:S:1:pos:R:3 pbc="T T T"
Co -6.9106 -8.9886 6.7274
Co -1.8420 -2.3959 1.7932
Se -3.8163 -4.9638 3.7151
Zr -5.3090 -6.9054 5.1683
```



# 10
Here is a relaxed CeNd3Er4 crystal from the Alexandria database. Energies are from PBE-GGA.

Properties
calculated formation energy	0.250	eV/atom
space group	C2/m

Structure (extended XYZ):
```
8
Lattice="3.3853 0.0000 -0.4271 -0.0889 6.0457 -0.7045 -0.1087 0.3986 12.7670" Properties=species:S:1:pos:R:3 pbc="T T T"
Nd -0.0444 3.0228 -0.3523
Nd 0.3954 4.6182 3.1339
Nd 2.7922 1.8261 8.5015
Ce 1.6926 0.0000 -0.2136
Er 2.3719 1.6109 5.1704
Er 0.8157 4.8334 6.4649
Er 0.3171 1.4620 2.5136
Er 2.8705 4.9822 9.1218
```



# 11
Here is a relaxed Pm8Ag3Pt2 crystal from the Alexandria database. Energies are from PBE-GGA.

Properties
calculated formation energy	-0.388	eV/atom
space group	C2/m

Structure (extended XYZ):
```
13
Lattice="6.3945 0.0000 0.5652 0.0000 7.6280 0.0000 -2.0298 -3.8140 7.6801" Properties=species:S:1:pos:R:3 pbc="T T T"
Pm 4.9316 3.8140 1.6038
Pm -0.5669 0.0000 6.6415
Pm 4.8456 0.0000 3.3587
Pm -0.4808 3.8140 4.8866
Pm 2.5723 1.8787 5.9032
Pm 2.5723 -1.8787 5.9032
Pm 1.7925 5.6927 2.3421
Pm 1.7925 1.9353 2.3421
Ag 3.1973 0.0000 0.2826
Ag 0.0000 1.3316 0.0000
Ag 0.0000 6.2965 0.0000
Pt 0.9771 0.0000 4.2871
Pt 3.3877 3.8140 3.9581
```



Please write out number 4 again, unchanged.
Here is a relaxed KLiSbSe3 crystal from the Alexandria database. Energies are from PBE-GGA.

Properties
space group	P2_1/m
uncorrected formation energy	-0.7172	eV/atom

Structure (extended XYZ):
```
12
Lattice="4.1816 0.0000 0.0000 0.0000 9.2528 -0.4180 0.0000 -2.8711 8.9140" Properties=species:S:1:pos:R:3 pbc="T T T"
K 1.0454 1.2831 2.2285
K 3.1362 5.0987 6.2675
Li 1.0454 -0.9015 5.2287
Li 3.1362 7.2832 3.2673
Sb 1.0454 5.8003 1.0767
Sb 3.1362 0.5815 7.4193
Se 3.1362 7.6876 0.7543
Se 1.0454 -1.3059 7.7417
Se 1.0454 5.9794 3.7882
Se 3.1362 0.4023 4.7078
Se 3.1362 3.8739 1.3281
Se 1.0454 2.5078 7.1679
```